# 1
A relaxed BP2PbS crystal, computed with PBE.

Results
DFT total energy = -4.396 eV per atom
Total magnetization = 0.00 μB per atom
Polymorph energy (0 for the lowest one) = 0.0 meV/atom
Uncorrected formation energy = 0.670 eV per atom

CIF file:
```
data_BP2PbS
_symmetry_space_group_name_H-M 'P 4/m m m'
_symmetry_Int_Tables_number 123
_symmetry_space_group_name_Hall '-P 4 2'
_cell_length_a 3.8616
_cell_length_b 3.8616
_cell_length_c 7.1574
_cell_angle_alpha 90.00
_cell_angle_beta 90.00
_cell_angle_gamma 90.00
loop_
_atom_site_label
_atom_site_fract_x
_atom_site_fract_y
_atom_site_fract_z
B1 0.0000 0.0000 0.0000
P1 0.0000 0.5000 0.0000
Pb1 0.5000 0.5000 0.5000
S1 0.0000 0.0000 0.5000
```

---

# 2
A relaxed BSbPPb2 crystal, computed with PBE.

Results
DFT total energy = -3.348 eV per atom
Total magnetization = 0.00 μB per atom
Uncorrected formation energy = 1.378 eV per atom

CIF file:
```
data_BSbPPb2
_symmetry_space_group_name_H-M 'P 4/m m m'
_symmetry_Int_Tables_number 123
_symmetry_space_group_name_Hall '-P 4 2'
_cell_length_a 5.8555
_cell_length_b 5.8555
_cell_length_c 5.2500
_cell_angle_alpha 90.00
_cell_angle_beta 90.00
_cell_angle_gamma 90.00
loop_
_atom_site_label
_atom_site_fract_x
_atom_site_fract_y
_atom_site_fract_z
B1 0.0000 0.0000 0.0000
Sb1 0.5000 0.5000 0.0000
P1 0.5000 0.5000 0.5000
Pb1 0.0000 0.5000 0.5000
```

---

total magnetization of number 1 (BP2PbS)? 0.00 μB per atom

---

Which formula does entry 1 have? BP2PbS